# 1
A geometry-optimized HfSc2Ni6 structure. Source: Alexandria, functional GGA-PBE.

CIF file:
```
data_HfSc2Ni6
_cell_length_a 5.2352
_cell_length_b 5.2352
_cell_length_c 5.5365
_cell_angle_alpha 90.00
_cell_angle_beta 90.00
_cell_angle_gamma 120.00
_symmetry_space_group_name_H-M 'P -3 m 1'
_symmetry_Int_Tables_number 164
_symmetry_space_group_name_Hall '-P 3 2"'
loop_
_atom_site_label
_atom_site_fract_x
_atom_site_fract_y
_atom_site_fract_z
Hf1 0.0000 0.0000 0.0000
Sc1 0.3333 0.6667 0.8213
Ni1 0.1800 0.3600 0.3342
```

Summary:
DFT formation energy = -0.35 eV per atom
final energy = -0.494 Ry/atom
density = 7.842 g cm⁻³
calculated volume = 14.60 Å³/atom

***

# 2
A geometry-optimized Y2MnB2Ru5 structure. Source: Alexandria, functional GGA-PBE.

CIF file:
```
data_Y2MnB2Ru5
_cell_length_a 9.566
_cell_length_b 9.566
_cell_length_c 3.101
_cell_angle_alpha 90.00
_cell_angle_beta 90.00
_cell_angle_gamma 90.00
_symmetry_space_group_name_H-M 'P 4/m b m'
_symmetry_Int_Tables_number 127
_symmetry_space_group_name_Hall '-P 4 2ab'
loop_
_atom_site_label
_atom_site_fract_x
_atom_site_fract_y
_atom_site_fract_z
Y1 0.176 0.324 0.000
Mn1 0.000 0.000 0.000
B1 0.123 0.623 0.000
Ru1 0.000 0.500 0.500
Ru2 0.069 0.784 0.500
```

Summary:
DFT formation energy = -0.35 eV per atom
final energy = -0.627 Ry/atom
density = 8.891 g cm⁻³
calculated volume = 14.19 Å³/atom

***

# 3
A geometry-optimized ZnFeSb4 structure. Source: Alexandria, functional GGA-PBE.

CIF file:
```
data_ZnFeSb4
_cell_length_a 8.696
_cell_length_b 8.696
_cell_length_c 8.696
_cell_angle_alpha 90.00
_cell_angle_beta 90.00
_cell_angle_gamma 90.00
_symmetry_space_group_name_H-M 'F -4 3 m'
_symmetry_Int_Tables_number 216
_symmetry_space_group_name_Hall 'F -4 2 3'
loop_
_atom_site_label
_atom_site_fract_x
_atom_site_fract_y
_atom_site_fract_z
Zn1 0.000 0.000 0.000
Fe1 0.250 0.250 0.750
Sb1 0.125 0.125 0.375
```

Summary:
final energy = -0.265 Ry/atom
density = 6.144 g cm⁻³
E_form (uncorrected) = 0.7723 eV per atom
calculated volume = 27.40 Å³/atom

***

Q: Which of these has the lowest density?
A: ZnFeSb4